Y4SbSe: optimized geometry, GGA-PBE.

Unit cell a=6.2411 b=6.2411 c=6.2411 alpha=60.00 beta=60.00 gamma=60.00
With the nearest neighbours (Å) after each atom.
Positions (direct):
Y 0.3757 0.3757 0.8729  6 Y 3.10-3.14
Y 0.3757 0.8729 0.3757  6 Y 3.10-3.14
Y 0.3757 0.3757 0.3757  6 Y 3.10-3.14
Y 0.8729 0.3757 0.3757  6 Y 3.10-3.14
Se 0.0000 0.0000 0.0000  12 Y 3.66, 4 Sb 3.82
Sb 0.7500 0.7500 0.7500  12 Y 3.66, 4 Se 3.82

Values from the calculation:
The calculation puts the total magnetic moment at 0.00 μB per formula unit. The calculation puts the density of states at the Fermi level at 4.65 states/eV per cell. The density is 5.374 g/cm3. Its crystal system is cubic. The calculation puts the formation energy from raw total energies at -0.04 eV per atom.